Entry 1:
An optimized crystal structure of Ac2MgSn6. Source: Alexandria, functional GGA-PBE.

Calculated values
- Formation energy from the elements: -4.15 eV/f.u.
- Density: 7.19 g/cm³
- V: 30.53 Å³ per atom

a = 6.828 Å, b = 6.828 Å, c = 12.041 Å
α = 98.03°, β = 98.03°, γ = 91.95°
Element x y z (fractional)
1 Sn 0.502 0.937 0.881
2 Sn 0.069 0.069 0.119
3 Sn 0.361 0.361 0.408
4 Sn 0.509 0.509 0.880
5 Sn 0.149 0.149 0.563
6 Sn 0.491 0.491 0.120
7 Sn 0.498 0.063 0.119
8 Sn 0.063 0.498 0.119
9 Sn 0.931 0.931 0.881
10 Sn 0.937 0.502 0.881
11 Sn 0.639 0.639 0.592
12 Sn 0.851 0.851 0.437
13 Mg 0.201 0.201 0.804
14 Mg 0.799 0.799 0.196
15 Ac 0.161 0.666 0.661
16 Ac 0.334 0.839 0.339
17 Ac 0.839 0.334 0.339
18 Ac 0.666 0.161 0.661

=====

Entry 2:
An optimized crystal structure of HfZnSe2Br. Source: Alexandria, functional GGA-PBE.

Calculated values
- Density: 5.58 g/cm³
- ΔE_f (raw): -0.49 eV per atom
- V: 28.67 Å³ per atom
- Energy above the lowest structure with this stoichiometry: 0.0 kJ per mole of atoms

a = 5.176 Å, b = 5.176 Å, c = 5.352 Å
α = 90.00°, β = 90.00°, γ = 90.00°
Element x y z (fractional)
1 Hf 0.000 0.000 0.000
2 Zn 0.500 0.500 0.500
3 Se 0.000 0.500 0.000
4 Se 0.500 0.000 0.000
5 Br 0.000 0.000 0.500

=====

Entry 3:
An optimized crystal structure of CsKIN2. Source: Alexandria, functional GGA-PBE.

Calculated values
- Density: 3.34 g/cm³
- ΔE_f (raw): 1.38 eV per atom
- V: 32.52 Å³ per atom
- Energy above the lowest structure with this stoichiometry: 39.5 kJ per mole of atoms

a = 4.694 Å, b = 4.694 Å, c = 7.381 Å
α = 90.00°, β = 90.00°, γ = 90.00°
Site moments in Bohr magnetons follow the coordinates.
Element x y z (fractional)
1 K 0.500 0.500 0.500  0.00
2 N 0.000 0.500 0.000  1.03
3 N 0.500 0.000 0.000  1.03
4 I 0.000 0.000 0.500  0.01
5 Cs 0.000 0.000 0.000  0.11

=====

Entry 4:
An optimized crystal structure of PuAlGaIr. Source: Alexandria, functional GGA-PBE.

Calculated values
- Formation energy from the elements: -1.79 eV/f.u.
- Density: 11.20 g/cm³
- V: 19.76 Å³ per atom

a = 4.269 Å, b = 4.269 Å, c = 5.582 Å
α = 67.52°, β = 67.52°, γ = 60.00°
Site moments in Bohr magnetons follow the coordinates.
Element x y z (fractional)
1 Pu 0.813 0.813 0.561  5.25
2 Al 0.604 0.604 0.188  0.01
3 Ga 0.024 0.024 0.927  0.01
4 Ir 0.284 0.284 0.148  -0.08

=====

Entry 5:
An optimized crystal structure of Tm6Tl3N. Source: Alexandria, functional GGA-PBE.

Calculated values
- Density: 9.66 g/cm³
- ΔE_f (raw): -0.39 eV per atom
- V: 28.20 Å³ per atom

a = 6.704 Å, b = 9.516 Å, c = 9.516 Å
α = 111.72°, β = 90.00°, γ = 90.00°
Element x y z (fractional)
1 Tl 0.383 0.394 0.606
2 Tl 0.530 0.959 0.741
3 Tl 0.030 0.741 0.959
4 Tl 0.883 0.606 0.394
5 Tl 0.030 0.041 0.259
6 Tl 0.530 0.259 0.041
7 Tm 0.694 0.589 0.091
8 Tm 0.694 0.909 0.411
9 Tm 0.224 0.736 0.264
10 Tm 0.194 0.091 0.589
11 Tm 0.216 0.355 0.292
12 Tm 0.479 0.930 0.070
13 Tm 0.216 0.708 0.645
14 Tm 0.716 0.292 0.355
15 Tm 0.194 0.411 0.909
16 Tm 0.724 0.264 0.736
17 Tm 0.979 0.070 0.930
18 Tm 0.716 0.645 0.708
19 N 0.020 0.208 0.792
20 N 0.520 0.792 0.208

=====

Entry 6:
An optimized crystal structure of CaCd3Sn3. Source: Alexandria, functional GGA-PBE.

Calculated values
- Formation energy from the elements: -0.61 eV/f.u.
- Density: 6.28 g/cm³
- V: 27.72 Å³ per atom
- Energy above the lowest structure with this stoichiometry: 0.0 kJ per mole of atoms

a = 8.162 Å, b = 8.162 Å, c = 8.214 Å
α = 60.21°, β = 60.21°, γ = 60.00°
Element x y z (fractional)
1 Ca 0.337 0.337 0.988
2 Ca 0.663 0.663 0.012
3 Sn 0.932 0.184 0.190
4 Sn 0.695 0.932 0.190
5 Sn 0.816 0.305 0.810
6 Sn 0.305 0.068 0.810
7 Sn 0.184 0.695 0.190
8 Sn 0.068 0.816 0.810
9 Cd 0.463 0.274 0.362
10 Cd 0.098 0.537 0.638
11 Cd 0.902 0.463 0.362
12 Cd 0.726 0.098 0.638
13 Cd 0.274 0.902 0.362
14 Cd 0.537 0.726 0.638

=====

Entry 7:
An optimized crystal structure of LiTbLuAl. Source: Alexandria, functional GGA-PBE.

Calculated values
- Formation energy from the elements: -0.82 eV/f.u.
- Density: 6.48 g/cm³
- V: 23.57 Å³ per atom

a = 5.108 Å, b = 5.108 Å, c = 5.108 Å
α = 60.00°, β = 60.00°, γ = 60.00°
Element x y z (fractional)
1 Tb 0.750 0.750 0.750
2 Li 0.000 0.000 0.000
3 Al 0.500 0.500 0.500
4 Lu 0.250 0.250 0.250

=====

Entry 8:
An optimized crystal structure of MgAsCl4. Source: Alexandria, functional GGA-PBE.

Calculated values
- Density: 2.74 g/cm³
- ΔE_f (raw): 0.50 eV per atom
- V: 24.31 Å³ per atom

a = 5.909 Å, b = 5.909 Å, c = 5.909 Å
α = 60.00°, β = 60.00°, γ = 60.00°
Site moments in Bohr magnetons follow the coordinates.
Element x y z (fractional)
1 Cl 0.376 0.376 0.873  0.39
2 Cl 0.376 0.376 0.376  0.39
3 Cl 0.873 0.376 0.376  0.39
4 Cl 0.376 0.873 0.376  0.39
5 As 0.000 0.000 0.000  0.79
6 Mg 0.750 0.750 0.750  -0.01

=====

Repeat the fifth record exactly.
An optimized crystal structure of Tm6Tl3N. Source: Alexandria, functional GGA-PBE.

Calculated values
- Density: 9.66 g/cm³
- ΔE_f (raw): -0.39 eV per atom
- V: 28.20 Å³ per atom

a = 6.704 Å, b = 9.516 Å, c = 9.516 Å
α = 111.72°, β = 90.00°, γ = 90.00°
Element x y z (fractional)
1 Tl 0.383 0.394 0.606
2 Tl 0.530 0.959 0.741
3 Tl 0.030 0.741 0.959
4 Tl 0.883 0.606 0.394
5 Tl 0.030 0.041 0.259
6 Tl 0.530 0.259 0.041
7 Tm 0.694 0.589 0.091
8 Tm 0.694 0.909 0.411
9 Tm 0.224 0.736 0.264
10 Tm 0.194 0.091 0.589
11 Tm 0.216 0.355 0.292
12 Tm 0.479 0.930 0.070
13 Tm 0.216 0.708 0.645
14 Tm 0.716 0.292 0.355
15 Tm 0.194 0.411 0.909
16 Tm 0.724 0.264 0.736
17 Tm 0.979 0.070 0.930
18 Tm 0.716 0.645 0.708
19 N 0.020 0.208 0.792
20 N 0.520 0.792 0.208

=====

Which of these has the lowest density? MgAsCl4

=====

Please write out number 7 again, unchanged.
An optimized crystal structure of LiTbLuAl. Source: Alexandria, functional GGA-PBE.

Calculated values
- Formation energy from the elements: -0.82 eV/f.u.
- Density: 6.48 g/cm³
- V: 23.57 Å³ per atom

a = 5.108 Å, b = 5.108 Å, c = 5.108 Å
α = 60.00°, β = 60.00°, γ = 60.00°
Element x y z (fractional)
1 Tb 0.750 0.750 0.750
2 Li 0.000 0.000 0.000
3 Al 0.500 0.500 0.500
4 Lu 0.250 0.250 0.250

=====

Which of these has the lowest density? MgAsCl4